## Li3Mg (GGA-PBEsol)

Data for a relaxed Li3Mg crystal.

Cell and atoms, written as CIF:
```
data_Li3Mg
_chemical_formula_sum 'Li6 Mg2'
_space_group_name_H-M_alt 'P m m n'
_space_group_IT_number 59
_cell_length_a 4.974
_cell_length_b 6.062
_cell_length_c 5.230
_cell_angle_alpha 90.00
_cell_angle_beta 90.00
_cell_angle_gamma 90.00
loop_
_space_group_symop_operation_xyz
'x,y,z'
'-x,-y,-z'
'-x+1/2,-y+1/2,z'
'x+1/2,y+1/2,-z'
'x+1/2,-y,-z'
'-x+1/2,y,z'
'-x,y+1/2,-z'
'x,-y+1/2,z'
loop_
_atom_site_label
_atom_site_fract_x
_atom_site_fract_y
_atom_site_fract_z
_atom_site_occupancy
Li1 0.250 0.000 0.168 1
Li2 0.250 0.250 0.673 1
Mg1 0.250 0.750 0.668 1
```

ΔE_f	-0.03	eV/atom

## Mg2InAs (GGA-PBEsol)

Data for a relaxed Mg2InAs crystal.

Cell and atoms, written as CIF:
```
data_Mg2InAs
_chemical_formula_sum 'Mg6 In3 As3'
_space_group_name_H-M_alt 'R 3 m'
_space_group_IT_number 160
_space_group_name_Hall 'R 3 -2"'
_cell_length_a 3.1867
_cell_length_b 3.1867
_cell_length_c 29.8127
_cell_angle_alpha 90.00
_cell_angle_beta 90.00
_cell_angle_gamma 120.00
loop_
_atom_site_label
_atom_site_fract_x
_atom_site_fract_y
_atom_site_fract_z
_atom_site_occupancy
Mg1 0.0000 0.0000 0.0000 1
Mg2 0.0000 0.0000 0.2467 1
In1 0.0000 0.0000 0.7538 1
As1 0.0000 0.0000 0.5075 1
```

ΔE_f	0.02	eV/atom
E above lowest polymorph	0.196	eV/atom

## ReTeW (GGA-PBEsol)

Data for a relaxed ReTeW crystal.

Cell and atoms, written as CIF:
```
data_ReTeW
_chemical_formula_sum 'Re2 Te2 W2'
_space_group_name_H-M_alt 'I m m 2'
_space_group_IT_number 44
_space_group_name_Hall 'I 2 -2'
_cell_length_a 3.049
_cell_length_b 4.176
_cell_length_c 8.000
_cell_angle_alpha 90.00
_cell_angle_beta 90.00
_cell_angle_gamma 90.00
loop_
_atom_site_label
_atom_site_fract_x
_atom_site_fract_y
_atom_site_fract_z
_atom_site_occupancy
Re1 0.000 0.000 0.000 1
Te1 0.000 0.000 0.672 1
W1 0.000 0.000 0.342 1
```

E above lowest polymorph	0.174	eV/atom
E_form (uncorrected)	0.765	eV/atom

## BeZnSe2 (GGA-PBEsol)

Data for a relaxed BeZnSe2 crystal.

Cell and atoms, written as CIF:
```
data_BeZnSe2
_chemical_formula_sum 'Be2 Zn2 Se4'
_space_group_name_H-M_alt 'C m m m'
_space_group_IT_number 65
_space_group_name_Hall '-C 2 2'
_cell_length_a 3.385
_cell_length_b 7.622
_cell_length_c 6.779
_cell_angle_alpha 90.00
_cell_angle_beta 90.00
_cell_angle_gamma 90.00
loop_
_atom_site_label
_atom_site_fract_x
_atom_site_fract_y
_atom_site_fract_z
_atom_site_occupancy
Be1 0.000 0.000 0.000 1
Zn1 0.000 0.000 0.500 1
Se1 0.000 0.500 0.228 1
```

E above lowest polymorph	0.686	eV/atom
E_form (uncorrected)	-0.040	eV/atom

## LaAlIr2Se (GGA-PBEsol)

Data for a relaxed LaAlIr2Se crystal.

Cell and atoms, written as CIF:
```
data_LaAlIr2Se
_chemical_formula_sum 'La1 Al1 Ir2 Se1'
_space_group_name_H-M_alt 'P 4/m m m'
_space_group_IT_number 123
_space_group_name_Hall '-P 4 2'
_cell_length_a 4.617
_cell_length_b 4.617
_cell_length_c 5.416
_cell_angle_alpha 90.00
_cell_angle_beta 90.00
_cell_angle_gamma 90.00
loop_
_atom_site_label
_atom_site_fract_x
_atom_site_fract_y
_atom_site_fract_z
_atom_site_occupancy
La1 0.000 0.000 0.000 1
Al1 0.500 0.500 0.000 1
Ir1 0.000 0.500 0.500 1
Se1 0.000 0.000 0.500 1
```

E_form (uncorrected)	0.559	eV/atom

## LiCrCdF6 (GGA-PBEsol)

Data for a relaxed LiCrCdF6 crystal.

Cell and atoms, written as CIF:
```
data_LiCrCdF6
_chemical_formula_sum 'Li2 Cr2 Cd2 F12'
_space_group_name_H-M_alt 'P -3 1 c'
_space_group_IT_number 163
_space_group_name_Hall '-P 3 2c'
_cell_length_a 5.0862
_cell_length_b 5.0862
_cell_length_c 9.5373
_cell_angle_alpha 90.00
_cell_angle_beta 90.00
_cell_angle_gamma 120.00
loop_
_atom_site_label
_atom_site_fract_x
_atom_site_fract_y
_atom_site_fract_z
_atom_site_occupancy
Li1 0.3333 0.6667 0.2500 1
Cr1 0.3333 0.6667 0.7500 1
Cd1 0.0000 0.0000 0.0000 1
F1 0.0145 0.3636 0.6386 1
```

E_form (uncorrected)	-2.570	eV/atom

## CrGe2Pt (GGA-PBEsol)

Data for a relaxed CrGe2Pt crystal.

Cell and atoms, written as CIF:
```
data_CrGe2Pt
_chemical_formula_sum 'Cr4 Ge8 Pt4'
_space_group_name_H-M_alt 'F m -3 m'
_space_group_IT_number 225
_space_group_name_Hall '-F 4 2 3'
_cell_length_a 6.057
_cell_length_b 6.057
_cell_length_c 6.057
_cell_angle_alpha 90.00
_cell_angle_beta 90.00
_cell_angle_gamma 90.00
loop_
_atom_site_label
_atom_site_fract_x
_atom_site_fract_y
_atom_site_fract_z
_atom_site_occupancy
Cr1 0.000 0.000 0.000 1
Ge1 0.250 0.250 0.250 1
Pt1 0.000 0.000 0.500 1
```

ΔE_f	0.01	eV/atom

## YMn2NbH (GGA-PBEsol)

Data for a relaxed YMn2NbH crystal.

Cell and atoms, written as CIF:
```
data_YMn2NbH
_chemical_formula_sum 'Y1 Mn2 Nb1 H1'
_space_group_name_H-M_alt 'P 4/m m m'
_space_group_IT_number 123
_space_group_name_Hall '-P 4 2'
_cell_length_a 4.775
_cell_length_b 4.775
_cell_length_c 3.647
_cell_angle_alpha 90.00
_cell_angle_beta 90.00
_cell_angle_gamma 90.00
loop_
_atom_site_label
_atom_site_fract_x
_atom_site_fract_y
_atom_site_fract_z
_atom_site_occupancy
Y1 0.000 0.000 0.000 1
Mn1 0.000 0.500 0.500 1
Nb1 0.500 0.500 0.500 1
H1 0.500 0.500 0.000 1
```

## BeFe2As (GGA-PBEsol)

Data for a relaxed BeFe2As crystal.

Cell and atoms, written as CIF:
```
data_BeFe2As
_chemical_formula_sum 'Be4 Fe8 As4'
_space_group_name_H-M_alt 'F m -3 m'
_space_group_IT_number 225
_space_group_name_Hall '-F 4 2 3'
_cell_length_a 5.417
_cell_length_b 5.417
_cell_length_c 5.417
_cell_angle_alpha 90.00
_cell_angle_beta 90.00
_cell_angle_gamma 90.00
loop_
_atom_site_label
_atom_site_fract_x
_atom_site_fract_y
_atom_site_fract_z
_atom_site_occupancy
Be1 0.000 0.000 0.000 1
Fe1 0.250 0.250 0.250 1
As1 0.000 0.000 0.500 1
```

ΔE_f	-0.20	eV/atom
E above lowest polymorph	0.000	eV/atom

## SrAsPd (GGA-PBEsol)

Data for a relaxed SrAsPd crystal.

Cell and atoms, written as CIF:
```
data_SrAsPd
_chemical_formula_sum 'Sr4 As4 Pd4'
_space_group_name_H-M_alt 'P 63/m m c'
_space_group_IT_number 194
_space_group_name_Hall '-P 6c 2c'
_cell_length_a 4.2655
_cell_length_b 4.2655
_cell_length_c 17.5212
_cell_angle_alpha 90.00
_cell_angle_beta 90.00
_cell_angle_gamma 120.00
loop_
_atom_site_label
_atom_site_fract_x
_atom_site_fract_y
_atom_site_fract_z
_atom_site_occupancy
Sr1 0.0000 0.0000 0.0000 1
Sr2 0.0000 0.0000 0.2500 1
As1 0.3333 0.6667 0.1260 1
Pd1 0.3333 0.6667 0.6245 1
```

ΔE_f	-0.96	eV/atom

## FeCu2Si (GGA-PBEsol)

Data for a relaxed FeCu2Si crystal.

Cell and atoms, written as CIF:
```
data_FeCu2Si
_chemical_formula_sum 'Fe2 Cu4 Si2'
_space_group_name_H-M_alt 'I m m m'
_space_group_IT_number 71
_space_group_name_Hall '-I 2 2'
_cell_length_a 2.648
_cell_length_b 3.940
_cell_length_c 8.507
_cell_angle_alpha 90.00
_cell_angle_beta 90.00
_cell_angle_gamma 90.00
loop_
_atom_site_label
_atom_site_fract_x
_atom_site_fract_y
_atom_site_fract_z
_atom_site_occupancy
Fe1 0.000 0.000 0.000 1
Cu1 0.000 0.500 0.237 1
Si1 0.000 0.000 0.500 1
```

E_form (uncorrected)	-0.103	eV/atom

## SnSb2IBr (GGA-PBEsol)

Data for a relaxed SnSb2IBr crystal.

Cell and atoms, written as CIF:
```
data_SnSb2IBr
_chemical_formula_sum 'Sn1 Sb2 I1 Br1'
_space_group_name_H-M_alt 'P 4/m m m'
_space_group_IT_number 123
_space_group_name_Hall '-P 4 2'
_cell_length_a 5.503
_cell_length_b 5.503
_cell_length_c 5.638
_cell_angle_alpha 90.00
_cell_angle_beta 90.00
_cell_angle_gamma 90.00
loop_
_atom_site_label
_atom_site_fract_x
_atom_site_fract_y
_atom_site_fract_z
_atom_site_occupancy
Sn1 0.000 0.000 0.000 1
Sb1 0.000 0.500 0.500 1
I1 0.500 0.500 0.000 1
Br1 0.500 0.500 0.500 1
```

E_form (uncorrected)	0.756	eV/atom

## CuAg2HgIr (GGA-PBEsol)

Data for a relaxed CuAg2HgIr crystal.

Cell and atoms, written as CIF:
```
data_CuAg2HgIr
_chemical_formula_sum 'Cu1 Ag2 Hg1 Ir1'
_space_group_name_H-M_alt 'P 4/m m m'
_space_group_IT_number 123
_space_group_name_Hall '-P 4 2'
_cell_length_a 4.968
_cell_length_b 4.968
_cell_length_c 5.055
_cell_angle_alpha 90.00
_cell_angle_beta 90.00
_cell_angle_gamma 90.00
loop_
_atom_site_label
_atom_site_fract_x
_atom_site_fract_y
_atom_site_fract_z
_atom_site_occupancy
Cu1 0.000 0.000 0.000 1
Ag1 0.000 0.500 0.500 1
Hg1 0.500 0.500 0.000 1
Ir1 0.500 0.500 0.500 1
```

ΔE_f	1.38	eV/atom

## Sr2SbH (GGA-PBEsol)

Data for a relaxed Sr2SbH crystal.

Cell and atoms, written as CIF:
```
data_Sr2SbH
_chemical_formula_sum 'Sr8 Sb4 H4'
_space_group_name_H-M_alt 'F m -3 m'
_space_group_IT_number 225
_space_group_name_Hall '-F 4 2 3'
_cell_length_a 7.634
_cell_length_b 7.634
_cell_length_c 7.634
_cell_angle_alpha 90.00
_cell_angle_beta 90.00
_cell_angle_gamma 90.00
loop_
_atom_site_label
_atom_site_fract_x
_atom_site_fract_y
_atom_site_fract_z
_atom_site_occupancy
Sr1 0.250 0.250 0.250 1
Sb1 0.000 0.000 0.000 1
H1 0.000 0.000 0.500 1
```

## BaClF3 (GGA-PBEsol)

Data for a relaxed BaClF3 crystal.

Cell and atoms, written as CIF:
```
data_BaClF3
_chemical_formula_sum 'Ba1 Cl1 F3'
_space_group_name_H-M_alt 'P m -3 m'
_space_group_IT_number 221
_space_group_name_Hall '-P 4 2 3'
_cell_length_a 4.994
_cell_length_b 4.994
_cell_length_c 4.994
_cell_angle_alpha 90.00
_cell_angle_beta 90.00
_cell_angle_gamma 90.00
loop_
_atom_site_label
_atom_site_fract_x
_atom_site_fract_y
_atom_site_fract_z
_atom_site_occupancy
Ba1 0.000 0.000 0.000 1
Cl1 0.500 0.500 0.500 1
F1 0.000 0.000 0.500 1
```

E_form (uncorrected)	-1.830	eV/atom

## RbHfB2 (GGA-PBEsol)

Data for a relaxed RbHfB2 crystal.

Cell and atoms, written as CIF:
```
data_RbHfB2
_chemical_formula_sum 'Rb4 Hf4 B8'
_space_group_name_H-M_alt 'F m -3 m'
_space_group_IT_number 225
_space_group_name_Hall '-F 4 2 3'
_cell_length_a 6.424
_cell_length_b 6.424
_cell_length_c 6.424
_cell_angle_alpha 90.00
_cell_angle_beta 90.00
_cell_angle_gamma 90.00
loop_
_atom_site_label
_atom_site_fract_x
_atom_site_fract_y
_atom_site_fract_z
_atom_site_occupancy
Rb1 0.000 0.000 0.000 1
Hf1 0.000 0.000 0.500 1
B1 0.250 0.250 0.250 1
```

ΔE_f	1.68	eV/atom

## TlReSbSe2 (GGA-PBEsol)

Data for a relaxed TlReSbSe2 crystal.

Cell and atoms, written as CIF:
```
data_TlReSbSe2
_chemical_formula_sum 'Tl1 Re1 Sb1 Se2'
_space_group_name_H-M_alt 'P 4/m m m'
_space_group_IT_number 123
_space_group_name_Hall '-P 4 2'
_cell_length_a 4.774
_cell_length_b 4.774
_cell_length_c 5.508
_cell_angle_alpha 90.00
_cell_angle_beta 90.00
_cell_angle_gamma 90.00
loop_
_atom_site_label
_atom_site_fract_x
_atom_site_fract_y
_atom_site_fract_z
_atom_site_occupancy
Tl1 0.000 0.000 0.000 1
Re1 0.500 0.500 0.500 1
Sb1 0.500 0.500 0.000 1
Se1 0.000 0.500 0.500 1
```

E_form (uncorrected)	0.357	eV/atom

## SrYI2N (GGA-PBEsol)

Data for a relaxed SrYI2N crystal.

Cell and atoms, written as CIF:
```
data_SrYI2N
_chemical_formula_sum 'Sr1 Y1 I2 N1'
_space_group_name_H-M_alt 'P 4/m m m'
_space_group_IT_number 123
_space_group_name_Hall '-P 4 2'
_cell_length_a 6.077
_cell_length_b 6.077
_cell_length_c 4.204
_cell_angle_alpha 90.00
_cell_angle_beta 90.00
_cell_angle_gamma 90.00
loop_
_atom_site_label
_atom_site_fract_x
_atom_site_fract_y
_atom_site_fract_z
_atom_site_occupancy
Sr1 0.000 0.000 0.000 1
Y1 0.500 0.500 0.500 1
I1 0.000 0.500 0.000 1
N1 0.000 0.000 0.500 1
```

E_form (uncorrected)	0.043	eV/atom

## BaGaH5 (GGA-PBEsol)

Data for a relaxed BaGaH5 crystal.

Cell and atoms, written as CIF:
```
data_BaGaH5
_chemical_formula_sum 'Ba2 Ga2 H10'
_space_group_name_H-M_alt 'P 1 21 1'
_space_group_IT_number 4
_space_group_name_Hall 'P 2yb'
_cell_length_a 4.776
_cell_length_b 4.535
_cell_length_c 8.181
_cell_angle_alpha 90.00
_cell_angle_beta 91.37
_cell_angle_gamma 90.00
loop_
_atom_site_label
_atom_site_fract_x
_atom_site_fract_y
_atom_site_fract_z
_atom_site_occupancy
Ba1 0.223 0.000 0.340 1
Ga1 0.291 0.928 0.851 1
H1 0.096 0.026 0.696 1
H2 0.183 0.059 0.015 1
H3 0.271 0.503 0.509 1
H4 0.283 0.575 0.840 1
H5 0.393 0.517 0.186 1
```

## HfTlSiAs2 (GGA-PBEsol)

Data for a relaxed HfTlSiAs2 crystal.

Cell and atoms, written as CIF:
```
data_HfTlSiAs2
_chemical_formula_sum 'Hf1 Tl1 Si1 As2'
_space_group_name_H-M_alt 'P 4/m m m'
_space_group_IT_number 123
_space_group_name_Hall '-P 4 2'
_cell_length_a 4.728
_cell_length_b 4.728
_cell_length_c 4.973
_cell_angle_alpha 90.00
_cell_angle_beta 90.00
_cell_angle_gamma 90.00
loop_
_atom_site_label
_atom_site_fract_x
_atom_site_fract_y
_atom_site_fract_z
_atom_site_occupancy
Hf1 0.000 0.000 0.000 1
Tl1 0.500 0.500 0.000 1
Si1 0.500 0.500 0.500 1
As1 0.000 0.500 0.500 1
```

E_form (uncorrected)	0.721	eV/atom

In order of appearance, uncorrected energy = -1.934, -2.862, -9.457, -3.361, -6.028, -5.345, -6.763, -7.427, -6.962, -5.266, -5.948, -2.646, -2.886, -3.543, -3.818, -4.710, -5.287, -4.101, -3.391, -5.098 eV per atom.